No. 1
! PmUFe2, optimized geometry, DFT PBE-GGA; values from VASP
&SYSTEM
  ibrav = 0, nat = 4, ntyp = 3
/
ATOMIC_SPECIES
U 238.03 U.upf
Fe 55.84 Fe.upf
Pm 145.00 Pm.upf
CELL_PARAMETERS angstrom
-1.526 -2.758 1.281
-1.334 -2.331 -2.089
5.711 -5.427 -0.363
ATOMIC_POSITIONS angstrom
U 0.000 0.000 0.000
Fe 2.434 -8.053 -0.883
Fe 0.417 -2.463 -0.289
Pm 1.425 -5.258 -0.586
! E_form: 0.23 eV per atom
! Volume: 19.1 Å³ per atom
! Spin magnetization: 0.83 μB per formula unit
! SG: R-3m
! ρ: 10.7 g/cm³
! Distance to the lowest polymorph of the same formula: 0.373 eV per atom
! Calculated total energy: -8.0109 eV/atom


No. 2
! PmV2Fe, optimized geometry, DFT PBE-GGA; values from VASP
&SYSTEM
  ibrav = 0, nat = 4, ntyp = 3
/
ATOMIC_SPECIES
V 50.94 V.upf
Fe 55.84 Fe.upf
Pm 145.00 Pm.upf
CELL_PARAMETERS angstrom
3.862 0.000 0.000
1.931 3.344 0.000
1.931 1.115 5.771
ATOMIC_POSITIONS angstrom
V 5.793 3.344 3.587
V 1.931 1.115 2.183
Fe 3.862 2.230 2.885
Pm 0.000 0.000 0.000
! E_form: 0.29 eV per atom
! Volume: 18.6 Å³ per atom
! Spin magnetization: 0.01 μB per formula unit
! SG: R-3m
! ρ: 6.7 g/cm³
! Calculated total energy: -7.5740 eV/atom


No. 3
! PmYFe4, optimized geometry, DFT PBE-GGA; values from VASP
&SYSTEM
  ibrav = 0, nat = 6, ntyp = 3
/
ATOMIC_SPECIES
Y 88.91 Y.upf
Fe 55.84 Fe.upf
Pm 145.00 Pm.upf
CELL_PARAMETERS angstrom
-0.829 -3.792 3.462
2.462 -4.555 -0.493
3.742 -1.312 3.366
ATOMIC_POSITIONS angstrom
Y 0.000 0.000 0.000
Fe 1.488 -5.381 2.276
Fe 2.129 -3.760 4.206
Fe 3.359 -6.037 3.959
Fe 3.774 -4.141 2.228
Pm 1.344 -2.415 1.584
! E_form: -0.01 eV per atom
! Volume: 16.6 Å³ per atom
! Spin magnetization: 7.54 μB per formula unit
! SG: F-43m
! ρ: 7.6 g/cm³
! Calculated total energy: -7.5176 eV/atom


No. 4
! PmYFe10, optimized geometry, DFT PBE-GGA; values from VASP
&SYSTEM
  ibrav = 0, nat = 12, ntyp = 3
/
ATOMIC_SPECIES
Pm 145.00 Pm.upf
Y 88.91 Y.upf
Fe 55.84 Fe.upf
CELL_PARAMETERS angstrom
-3.304 -1.601 -1.444
1.641 -4.589 1.332
-3.835 0.889 7.786
ATOMIC_POSITIONS angstrom
Pm 0.000 0.000 0.000
Y -1.097 -1.850 4.559
Fe -1.287 0.299 2.614
Fe -2.367 -1.555 7.140
Fe 0.174 -2.145 1.979
Fe -2.547 0.591 5.173
Fe -3.569 -0.356 3.171
Fe -0.831 -3.095 -0.056
Fe -2.209 -1.729 1.582
Fe -3.288 -3.571 6.093
Fe -1.393 -4.011 2.245
Fe -4.104 -1.290 5.430
! E_form: -0.01 eV per atom
! Volume: 14.5 Å³ per atom
! Spin magnetization: 19.90 μB per formula unit
! SG: Pmmm
! ρ: 7.6 g/cm³
! Calculated total energy: -7.9993 eV/atom


No. 5
! Pm2YFe9, optimized geometry, DFT PBE-GGA; values from VASP
&SYSTEM
  ibrav = 0, nat = 12, ntyp = 3
/
ATOMIC_SPECIES
Pm 145.00 Pm.upf
Y 88.91 Y.upf
Fe 55.84 Fe.upf
CELL_PARAMETERS angstrom
4.933 0.000 1.468
2.248 4.391 1.468
0.080 0.049 8.751
ATOMIC_POSITIONS angstrom
Pm 6.198 3.790 6.236
Pm 1.063 0.650 5.451
Y 0.000 0.000 0.000
Fe 4.871 2.978 10.696
Fe 2.390 1.461 0.991
Fe 3.630 2.220 5.844
Fe 3.049 1.864 3.330
Fe 5.492 1.864 4.057
Fe 4.162 4.039 4.057
Fe 4.212 2.576 8.357
Fe 3.099 0.401 7.630
Fe 1.769 2.576 7.630
! E_form: -0.01 eV per atom
! Volume: 15.7 Å³ per atom
! Spin magnetization: 18.90 μB per formula unit
! SG: R-3m
! ρ: 7.8 g/cm³
! Calculated total energy: -7.6839 eV/atom


No. 6
! PmY2Fe, optimized geometry, DFT PBE-GGA; values from VASP
&SYSTEM
  ibrav = 0, nat = 4, ntyp = 3
/
ATOMIC_SPECIES
Y 88.91 Y.upf
Fe 55.84 Fe.upf
Pm 145.00 Pm.upf
CELL_PARAMETERS angstrom
3.384 0.000 0.000
0.000 3.384 0.000
0.000 0.000 9.140
ATOMIC_POSITIONS angstrom
Y 0.000 0.000 7.528
Y 0.000 0.000 1.612
Fe 1.692 1.692 0.000
Pm 1.692 1.692 4.570
! E_form: 0.10 eV per atom
! Volume: 26.2 Å³ per atom
! Spin magnetization: 0.00 μB per formula unit
! SG: P4/mmm
! ρ: 6.0 g/cm³
! Distance to the lowest polymorph of the same formula: 0.000 eV per atom
! Calculated total energy: -6.4361 eV/atom


No. 7
! PmY2Fe, optimized geometry, DFT PBE-GGA; values from VASP
&SYSTEM
  ibrav = 0, nat = 4, ntyp = 3
/
ATOMIC_SPECIES
Y 88.91 Y.upf
Fe 55.84 Fe.upf
Pm 145.00 Pm.upf
CELL_PARAMETERS angstrom
-2.737 1.378 1.698
-3.181 -0.056 -1.467
-3.921 -9.083 4.665
ATOMIC_POSITIONS angstrom
Y -3.284 -5.973 3.167
Y -6.554 -1.789 1.730
Fe -4.919 -3.881 2.448
Pm 0.000 0.000 0.000
! E_form: 0.34 eV per atom
! Volume: 28.6 Å³ per atom
! Spin magnetization: 0.90 μB per formula unit
! SG: R-3m
! ρ: 5.5 g/cm³
! Distance to the lowest polymorph of the same formula: 0.241 eV per atom
! Calculated total energy: -6.1956 eV/atom


No. 8
! PmZn4Fe, optimized geometry, DFT PBE-GGA; values from VASP
&SYSTEM
  ibrav = 0, nat = 6, ntyp = 3
/
ATOMIC_SPECIES
Zn 65.41 Zn.upf
Fe 55.84 Fe.upf
Pm 145.00 Pm.upf
CELL_PARAMETERS angstrom
-3.564 -3.004 2.326
0.094 -5.162 -0.689
1.391 -3.127 3.927
ATOMIC_POSITIONS angstrom
Zn -2.007 -5.493 1.498
Zn -1.351 -4.462 3.835
Zn -1.303 -7.076 3.486
Zn 0.502 -5.555 2.309
Fe 0.000 0.000 0.000
Pm -0.520 -2.823 1.391
! E_form: -0.07 eV per atom
! Volume: 16.7 Å³ per atom
! Spin magnetization: 1.18 μB per formula unit
! SG: F-43m
! ρ: 7.7 g/cm³
! Calculated total energy: -3.1192 eV/atom


No. 9
! Pm2ZnFe, optimized geometry, DFT PBE-GGA; values from VASP
&SYSTEM
  ibrav = 0, nat = 4, ntyp = 3
/
ATOMIC_SPECIES
Zn 65.41 Zn.upf
Fe 55.84 Fe.upf
Pm 145.00 Pm.upf
CELL_PARAMETERS angstrom
-1.989 0.521 -2.908
1.676 -2.687 -1.628
-4.947 -4.634 2.552
ATOMIC_POSITIONS angstrom
Zn -2.630 -3.399 -0.992
Fe -0.156 -1.083 -2.268
Pm -3.793 -3.553 1.957
Pm -1.154 -1.081 0.595
! E_form: -0.02 eV per atom
! Volume: 23.0 Å³ per atom
! Spin magnetization: 1.58 μB per formula unit
! SG: P4/mmm
! ρ: 7.4 g/cm³
! Calculated total energy: -4.8255 eV/atom


No. 10
! PmZnFe4, optimized geometry, DFT PBE-GGA; values from VASP
&SYSTEM
  ibrav = 0, nat = 6, ntyp = 3
/
ATOMIC_SPECIES
Zn 65.41 Zn.upf
Fe 55.84 Fe.upf
Pm 145.00 Pm.upf
CELL_PARAMETERS angstrom
5.028 0.000 0.000
2.514 4.355 0.000
2.514 1.452 4.106
ATOMIC_POSITIONS angstrom
Zn 0.000 0.000 0.000
Fe 5.028 2.903 0.502
Fe 5.028 1.441 2.570
Fe 6.294 3.634 2.570
Fe 3.762 3.634 2.570
Pm 2.514 1.452 1.026
! E_form: 0.04 eV per atom
! Volume: 15.0 Å³ per atom
! Spin magnetization: 8.52 μB per formula unit
! SG: F-43m
! ρ: 8.0 g/cm³
! Calculated total energy: -6.6013 eV/atom


No. 11
! PmZn8Fe4, optimized geometry, DFT PBE-GGA; values from VASP
&SYSTEM
  ibrav = 0, nat = 13, ntyp = 3
/
ATOMIC_SPECIES
Pm 145.00 Pm.upf
Zn 65.41 Zn.upf
Fe 55.84 Fe.upf
CELL_PARAMETERS angstrom
-4.793 -0.944 -0.950
-2.709 -4.036 4.645
-4.048 4.518 2.898
ATOMIC_POSITIONS angstrom
Pm 0.000 0.000 0.000
Zn -3.591 1.597 3.494
Zn -3.166 -1.114 4.048
Zn -6.086 -0.005 4.642
Zn -5.464 -0.457 1.951
Zn -5.413 -2.544 3.769
Zn -6.137 2.082 2.824
Zn -2.847 -0.144 1.475
Zn -8.703 -0.317 5.118
Fe -2.024 2.259 1.449
Fe -4.420 1.787 0.974
Fe -1.355 -2.018 2.322
Fe -3.751 -2.490 1.847
! E_form: -0.07 eV per atom
! Volume: 14.9 Å³ per atom
! Spin magnetization: 7.59 μB per formula unit
! SG: I4/mmm
! ρ: 7.6 g/cm³
! Calculated total energy: -3.8239 eV/atom


No. 12
! PmZn11Fe, optimized geometry, DFT PBE-GGA; values from VASP
&SYSTEM
  ibrav = 0, nat = 13, ntyp = 3
/
ATOMIC_SPECIES
Pm 145.00 Pm.upf
Zn 65.41 Zn.upf
Fe 55.84 Fe.upf
CELL_PARAMETERS angstrom
-0.981 4.915 1.119
-6.555 1.550 -0.909
-1.701 0.851 6.554
ATOMIC_POSITIONS angstrom
Pm 0.000 0.000 0.000
Zn -2.119 1.927 1.553
Zn -7.118 5.388 5.211
Zn -5.949 3.832 1.290
Zn -3.288 3.484 5.474
Zn -5.677 3.372 4.120
Zn -3.560 3.944 2.645
Zn -4.424 5.906 5.052
Zn -4.813 1.410 1.712
Zn -3.277 0.775 -0.454
Zn -1.341 2.883 3.837
Zn -0.851 0.425 3.277
Fe -3.768 3.232 0.105
! E_form: -0.15 eV per atom
! Volume: 15.7 Å³ per atom
! Spin magnetization: 2.35 μB per formula unit
! SG: C2/m
! ρ: 7.5 g/cm³
! Calculated total energy: -2.2456 eV/atom


Question: Look up the calculated total energy of the eighth one.
Answer: -3.1192 eV/atom


What did the tenth record say?
! PmZnFe4, optimized geometry, DFT PBE-GGA; values from VASP
&SYSTEM
  ibrav = 0, nat = 6, ntyp = 3
/
ATOMIC_SPECIES
Zn 65.41 Zn.upf
Fe 55.84 Fe.upf
Pm 145.00 Pm.upf
CELL_PARAMETERS angstrom
5.028 0.000 0.000
2.514 4.355 0.000
2.514 1.452 4.106
ATOMIC_POSITIONS angstrom
Zn 0.000 0.000 0.000
Fe 5.028 2.903 0.502
Fe 5.028 1.441 2.570
Fe 6.294 3.634 2.570
Fe 3.762 3.634 2.570
Pm 2.514 1.452 1.026
! E_form: 0.04 eV per atom
! Volume: 15.0 Å³ per atom
! Spin magnetization: 8.52 μB per formula unit
! SG: F-43m
! ρ: 8.0 g/cm³
! Calculated total energy: -6.6013 eV/atom


What did the third record say?
! PmYFe4, optimized geometry, DFT PBE-GGA; values from VASP
&SYSTEM
  ibrav = 0, nat = 6, ntyp = 3
/
ATOMIC_SPECIES
Y 88.91 Y.upf
Fe 55.84 Fe.upf
Pm 145.00 Pm.upf
CELL_PARAMETERS angstrom
-0.829 -3.792 3.462
2.462 -4.555 -0.493
3.742 -1.312 3.366
ATOMIC_POSITIONS angstrom
Y 0.000 0.000 0.000
Fe 1.488 -5.381 2.276
Fe 2.129 -3.760 4.206
Fe 3.359 -6.037 3.959
Fe 3.774 -4.141 2.228
Pm 1.344 -2.415 1.584
! E_form: -0.01 eV per atom
! Volume: 16.6 Å³ per atom
! Spin magnetization: 7.54 μB per formula unit
! SG: F-43m
! ρ: 7.6 g/cm³
! Calculated total energy: -7.5176 eV/atom


Repeat the first record exactly.
! PmUFe2, optimized geometry, DFT PBE-GGA; values from VASP
&SYSTEM
  ibrav = 0, nat = 4, ntyp = 3
/
ATOMIC_SPECIES
U 238.03 U.upf
Fe 55.84 Fe.upf
Pm 145.00 Pm.upf
CELL_PARAMETERS angstrom
-1.526 -2.758 1.281
-1.334 -2.331 -2.089
5.711 -5.427 -0.363
ATOMIC_POSITIONS angstrom
U 0.000 0.000 0.000
Fe 2.434 -8.053 -0.883
Fe 0.417 -2.463 -0.289
Pm 1.425 -5.258 -0.586
! E_form: 0.23 eV per atom
! Volume: 19.1 Å³ per atom
! Spin magnetization: 0.83 μB per formula unit
! SG: R-3m
! ρ: 10.7 g/cm³
! Distance to the lowest polymorph of the same formula: 0.373 eV per atom
! Calculated total energy: -8.0109 eV/atom